Here is crystalline NaAcSi3 at its relaxed geometry from Alexandria via LeMat-Bulk. Energies are from PBE.

Cell and atoms, written as POSCAR:
```
NaAcSi3
1.0
2.352 -12.660 0.000
2.352 12.660 0.000
0.000 0.000 3.989
Na Ac Si
2 2 6
Direct
0.207 0.793 0.750
0.793 0.207 0.250
0.073 0.927 0.250
0.927 0.073 0.750
0.328 0.672 0.750
0.380 0.620 0.250
0.475 0.525 0.250
0.525 0.475 0.750
0.620 0.380 0.750
0.672 0.328 0.250
```

- Crystal system: orthorhombic
- Formation energy (no corrections): -0.324 eV/atom

=====

Here is crystalline BaTa2Os2 at its relaxed geometry from Alexandria via LeMat-Bulk. Energies are from PBE.

Cell and atoms, written as POSCAR:
```
BaTa2Os2
1.0
-2.208 2.208 5.743
2.208 -2.208 5.743
2.208 2.208 -5.743
Ba Ta Os
1 2 2
Direct
0.000 0.000 0.000
0.250 0.750 0.500
0.750 0.250 0.500
0.374 0.374 0.000
0.626 0.626 0.000
```

- Final energy: -9.598 eV/atom
- Crystal system: tetragonal

=====

Here is crystalline Ca2ZnSi at its relaxed geometry from Alexandria via LeMat-Bulk. Energies are from PBE.

Cell and atoms, written as POSCAR:
```
Ca2ZnSi
1.0
3.654 0.000 0.000
0.000 4.925 0.000
0.000 0.000 6.049
Ca Zn Si
2 1 1
Direct
0.000 0.000 0.000
0.500 0.500 0.456
0.500 0.500 0.948
0.000 0.000 0.501
```

- Energy relative to the lowest polymorph listed for this composition: 350 meV/atom
- Crystal system: orthorhombic
- Formation energy (no corrections): -0.051 eV/atom

=====

Here is crystalline Ga3PdF at its relaxed geometry from Alexandria via LeMat-Bulk. Energies are from PBE.

Cell and atoms, written as POSCAR:
```
Ga3PdF
1.0
4.804 0.000 0.000
0.000 4.804 0.000
0.000 0.000 4.804
Ga Pd F
3 1 1
Direct
0.000 0.000 0.500
0.000 0.500 0.000
0.500 0.000 0.000
0.000 0.000 0.000
0.500 0.500 0.500
```

- Energy relative to the lowest polymorph listed for this composition: 0 meV/atom
- Crystal system: cubic
- Formation energy (no corrections): -0.620 eV/atom

=====

Here is crystalline CaNdGe2 at its relaxed geometry from Alexandria via LeMat-Bulk. Energies are from PBE.

Cell and atoms, written as POSCAR:
```
CaNdGe2
1.0
4.859 0.000 0.000
0.000 4.859 0.000
0.000 0.000 4.130
Ca Nd Ge
1 1 2
Direct
0.000 0.000 0.000
0.500 0.500 0.000
0.000 0.500 0.500
0.500 0.000 0.500
```

- Final energy: -4.569 eV/atom
- Crystal system: tetragonal

=====

Here is crystalline Sc3TlBi2 at its relaxed geometry from Alexandria via LeMat-Bulk. Energies are from PBE.

Cell and atoms, written as POSCAR:
```
Sc3TlBi2
1.0
6.892 -2.997 0.000
6.892 2.997 0.000
-2.469 0.000 7.876
Sc Tl Bi
6 2 4
Direct
0.001 0.999 0.750
0.328 0.329 0.414
0.329 0.328 0.914
0.671 0.672 0.086
0.672 0.671 0.586
0.999 0.001 0.250
0.499 0.501 0.250
0.501 0.499 0.750
0.165 0.165 0.083
0.165 0.165 0.583
0.835 0.835 0.417
0.835 0.835 0.917
```

- Final energy: -5.260 eV/atom
- Crystal system: monoclinic

=====

Here is crystalline Nd3CuGeS7 at its relaxed geometry from Alexandria via LeMat-Bulk. Energies are from PBE.

Cell and atoms, written as POSCAR:
```
Nd3CuGeS7
1.0
10.207 0.000 0.000
-5.103 8.839 0.000
0.000 0.000 5.873
Nd Cu Ge S
6 2 2 14
Direct
0.127 0.356 0.000
0.229 0.873 0.000
0.356 0.229 0.500
0.644 0.771 0.000
0.771 0.127 0.500
0.873 0.644 0.500
0.000 0.000 0.469
0.000 0.000 0.969
0.333 0.667 0.583
0.667 0.333 0.083
0.091 0.253 0.480
0.104 0.584 0.738
0.162 0.909 0.480
0.253 0.162 0.980
0.333 0.667 0.208
0.416 0.520 0.738
0.480 0.896 0.738
0.520 0.104 0.238
0.584 0.480 0.238
0.667 0.333 0.708
0.747 0.838 0.480
0.838 0.091 0.980
0.896 0.416 0.238
0.909 0.747 0.980
```

- Crystal system: hexagonal
- Formation energy (no corrections): -1.465 eV/atom

=====

Here is crystalline Zr2ScCr at its relaxed geometry from Alexandria via LeMat-Bulk. Energies are from PBE.

Cell and atoms, written as POSCAR:
```
Zr2ScCr
1.0
-2.182 2.182 4.426
2.182 -2.182 4.426
2.182 2.182 -4.426
Zr Sc Cr
2 1 1
Direct
0.000 0.000 0.000
0.750 0.250 0.500
0.500 0.500 0.000
0.250 0.750 0.500
```

- Energy relative to the lowest polymorph listed for this composition: 104 meV/atom
- Crystal system: tetragonal

=====

Here is crystalline HoU2PaAs4 at its relaxed geometry from Alexandria via LeMat-Bulk. Energies are from PBE.

Cell and atoms, written as POSCAR:
```
HoU2PaAs4
1.0
7.030 0.000 0.000
0.000 4.059 0.000
-2.345 0.000 6.788
Ho U Pa As
1 2 1 4
Direct
0.000 0.000 0.000
0.000 0.500 0.500
0.500 0.000 0.500
0.500 0.500 0.000
0.249 0.000 0.751
0.250 0.500 0.249
0.750 0.500 0.751
0.751 0.000 0.249
```

- Final energy: -7.908 eV/atom
- Crystal system: monoclinic

=====

Here is crystalline MnBeCl4 at its relaxed geometry from Alexandria via LeMat-Bulk. Energies are from PBE.

Cell and atoms, written as POSCAR:
```
MnBeCl4
1.0
3.993 -4.605 0.000
3.993 4.605 0.000
0.000 0.000 7.861
Mn Be Cl
2 2 8
Direct
0.031 0.969 0.750
0.969 0.031 0.250
0.327 0.673 0.250
0.673 0.327 0.750
0.186 0.814 0.046
0.186 0.814 0.454
0.266 0.340 0.250
0.340 0.266 0.750
0.660 0.734 0.250
0.734 0.660 0.750
0.814 0.186 0.546
0.814 0.186 0.954
```

- Energy relative to the lowest polymorph listed for this composition: 0 meV/atom
- Crystal system: orthorhombic
- Formation energy (no corrections): -1.152 eV/atom

=====

Here is crystalline Tb2LuAg at its relaxed geometry from Alexandria via LeMat-Bulk. Energies are from PBE.

Cell and atoms, written as POSCAR:
```
Tb2LuAg
1.0
1.707 0.985 11.555
-1.707 0.985 11.555
0.000 -1.971 11.555
Tb Lu Ag
2 1 1
Direct
0.086 0.086 0.086
0.914 0.914 0.914
0.500 0.500 0.500
0.000 0.000 0.000
```

- Energy relative to the lowest polymorph listed for this composition: 362 meV/atom
- Crystal system: trigonal

=====

Here is crystalline Ge3Rh5 at its relaxed geometry from Alexandria via LeMat-Bulk. Energies are from PBE.

Cell and atoms, written as POSCAR:
```
Ge3Rh5
1.0
5.515 0.000 0.000
0.000 10.519 0.000
0.000 0.000 4.007
Ge Rh
6 10
Direct
0.000 0.000 0.000
0.100 0.347 0.500
0.400 0.847 0.500
0.500 0.500 0.000
0.600 0.153 0.500
0.900 0.653 0.500
0.000 0.500 0.000
0.155 0.783 0.000
0.167 0.108 0.500
0.333 0.608 0.500
0.345 0.283 0.000
0.500 0.000 0.000
0.655 0.717 0.000
0.667 0.392 0.500
0.833 0.892 0.500
0.845 0.217 0.000
```

- Final energy: -6.804 eV/atom
- Crystal system: orthorhombic